1.
Here is crystalline BiOs2Pd at its relaxed geometry from the Open Quantum Materials Database. Energies are from PBE.

Cell lengths 6.5085, 6.5085, 6.5085 Å; angles 90.00, 90.00, 90.00 degrees
Last column: nearest neighbours and their distance in Å.
Sites, in units of the cell vectors:
Bi 0.0000 0.0000 0.0000  4 Pd 2.82, 4 Os 2.82
Bi 0.0000 0.5000 0.5000  4 Os 2.82, 4 Pd 2.82
Bi 0.5000 0.0000 0.5000  4 Os 2.82, 4 Pd 2.82
Bi 0.5000 0.5000 0.0000  4 Os 2.82, 4 Pd 2.82
Os 0.0000 0.0000 0.5000  4 Os 2.82, 4 Pd 2.82
Os 0.0000 0.5000 0.0000  4 Os 2.82, 4 Pd 2.82
Os 0.2500 0.2500 0.7500  4 Bi 2.82, 4 Os 2.82
Os 0.2500 0.7500 0.2500  4 Bi 2.82, 4 Os 2.82
Os 0.5000 0.0000 0.0000  4 Os 2.82, 4 Pd 2.82
Os 0.5000 0.5000 0.5000  4 Os 2.82, 4 Pd 2.82
Os 0.7500 0.2500 0.2500  4 Bi 2.82, 4 Os 2.82
Os 0.7500 0.7500 0.7500  4 Bi 2.82, 4 Os 2.82
Pd 0.2500 0.2500 0.2500  4 Bi 2.82, 4 Os 2.82
Pd 0.2500 0.7500 0.7500  4 Bi 2.82, 4 Os 2.82
Pd 0.7500 0.2500 0.7500  4 Bi 2.82, 4 Os 2.82
Pd 0.7500 0.7500 0.2500  4 Bi 2.82, 4 Os 2.82

crystal system = cubic
raw total energy = -113.47 eV per cell
total magnetization = 0.03 Bohr magnetons per cell



2.
Here is crystalline LiGePdAu at its relaxed geometry from the Open Quantum Materials Database. Energies are from PBE.

Cell lengths 6.2460, 6.2460, 6.2460 Å; angles 90.00, 90.00, 90.00 degrees
Last column: nearest neighbours and their distance in Å.
Sites, in units of the cell vectors:
Li 0.0000 0.0000 0.0000  4 Pd 2.70, 4 Au 2.70
Li 0.0000 0.5000 0.5000  4 Pd 2.70, 4 Au 2.70
Li 0.5000 0.0000 0.5000  4 Pd 2.70, 4 Au 2.70
Li 0.5000 0.5000 0.0000  4 Pd 2.70, 4 Au 2.70
Ge 0.0000 0.0000 0.5000  4 Pd 2.70, 4 Au 2.70
Ge 0.0000 0.5000 0.0000  4 Pd 2.70, 4 Au 2.70
Ge 0.5000 0.0000 0.0000  4 Pd 2.70, 4 Au 2.70
Ge 0.5000 0.5000 0.5000  4 Pd 2.70, 4 Au 2.70
Pd 0.2500 0.2500 0.2500  4 Ge 2.70, 4 Li 2.70
Pd 0.2500 0.7500 0.7500  4 Ge 2.70, 4 Li 2.70
Pd 0.7500 0.2500 0.7500  4 Ge 2.70, 4 Li 2.70
Pd 0.7500 0.7500 0.2500  4 Ge 2.70, 4 Li 2.70
Au 0.2500 0.2500 0.7500  4 Ge 2.70, 4 Li 2.70
Au 0.2500 0.7500 0.2500  4 Ge 2.70, 4 Li 2.70
Au 0.7500 0.2500 0.2500  4 Ge 2.70, 4 Li 2.70
Au 0.7500 0.7500 0.7500  4 Li 2.70, 4 Ge 2.70

crystal system = cubic
raw total energy = -66.80 eV per cell
energy relative to the lowest polymorph listed for this composition = 0.000 eV/atom



3.
Here is crystalline NdScSb at its relaxed geometry from the Open Quantum Materials Database. Energies are from PBE.

Cell lengths 7.1074, 7.1074, 7.1074 Å; angles 90.00, 90.00, 90.00 degrees
Last column: nearest neighbours and their distance in Å.
Sites, in units of the cell vectors:
Nd 0.0000 0.0000 0.0000  4 Sb 3.08
Nd 0.0000 0.5000 0.5000  4 Sb 3.08
Nd 0.5000 0.0000 0.5000  4 Sb 3.08
Nd 0.5000 0.5000 0.0000  4 Sb 3.08
Sc 0.0000 0.0000 0.5000  4 Sb 3.08
Sc 0.0000 0.5000 0.0000  4 Sb 3.08
Sc 0.5000 0.0000 0.0000  4 Sb 3.08
Sc 0.5000 0.5000 0.5000  4 Sb 3.08
Sb 0.2500 0.2500 0.2500  4 Nd 3.08, 4 Sc 3.08
Sb 0.2500 0.7500 0.7500  4 Nd 3.08, 4 Sc 3.08
Sb 0.7500 0.2500 0.7500  4 Nd 3.08, 4 Sc 3.08
Sb 0.7500 0.7500 0.2500  4 Nd 3.08, 4 Sc 3.08

crystal system = cubic
raw total energy = -67.19 eV per cell
total magnetization = 2.00 Bohr magnetons per cell
energy relative to the lowest polymorph listed for this composition = 0.351 eV/atom



4.
Here is crystalline Ge2IrPd at its relaxed geometry from the Open Quantum Materials Database. Energies are from PBE.

Cell lengths 3.5979, 6.3553, 5.6479 Å; angles 90.00, 90.00, 90.00 degrees
Last column: nearest neighbours and their distance in Å.
Sites, in units of the cell vectors:
Ge 0.0000 0.1615 0.0000  4 Ir 2.50-2.60, 2 Pd 2.51-2.72
Ge 0.0000 0.8385 0.5000  4 Ir 2.50-2.60, 2 Pd 2.51-2.72
Ge 0.5000 0.3224 0.6227  2 Ir 2.48-2.59, 4 Pd 2.55-2.64
Ge 0.5000 0.6776 0.1227  2 Ir 2.48-2.59, 4 Pd 2.55-2.64
Ir 0.5000 0.0507 0.3072  6 Ge 2.48-2.60
Ir 0.5000 0.9493 0.8072  6 Ge 2.48-2.60
Pd 0.0000 0.4453 0.3086  6 Ge 2.51-2.72
Pd 0.0000 0.5547 0.8086  6 Ge 2.51-2.72

crystal system = orthorhombic
raw total energy = -49.89 eV per cell
total magnetization = 0.00 Bohr magnetons per cell



5.
Here is crystalline TbTaB at its relaxed geometry from the Open Quantum Materials Database. Energies are from PBE.

Cell lengths 3.1347, 16.5533, 4.4350 Å; angles 90.00, 90.00, 90.00 degrees
Last column: nearest neighbours and their distance in Å.
Sites, in units of the cell vectors:
Tb 0.0000 0.1638 0.2500  5 B 2.70-2.72
Tb 0.0000 0.8362 0.7500  5 B 2.70-2.72
Tb 0.5000 0.3362 0.7500  5 B 2.70-2.72
Tb 0.5000 0.6638 0.2500  5 B 2.70-2.72
Ta 0.0000 0.4570 0.2500  1 B 2.15
Ta 0.0000 0.5430 0.7500  1 B 2.15
Ta 0.5000 0.0430 0.7500  1 B 2.15
Ta 0.5000 0.9570 0.2500  1 B 2.15
B 0.0000 0.3268 0.2500  1 Ta 2.15
B 0.0000 0.6732 0.7500  1 Ta 2.15
B 0.5000 0.1732 0.7500  1 Ta 2.15
B 0.5000 0.8268 0.2500  1 Ta 2.15

crystal system = orthorhombic
raw total energy = -87.69 eV per cell
total magnetization = 0.01 Bohr magnetons per cell
energy relative to the lowest polymorph listed for this composition = 0.071 eV/atom



6.
Here is crystalline RbHfAsO at its relaxed geometry from the Open Quantum Materials Database. Energies are from PBE.

Cell lengths 3.9727, 3.9727, 9.9056 Å; angles 90.00, 90.00, 90.00 degrees
Last column: nearest neighbours and their distance in Å.
Sites, in units of the cell vectors:
Rb 0.2500 0.7500 0.0000  4 Rb 2.81
Rb 0.7500 0.2500 0.0000  4 Rb 2.81
Hf 0.2500 0.2500 0.4037  4 O 2.20
Hf 0.7500 0.7500 0.5963  4 O 2.20
As 0.2500 0.2500 0.7400  4 O 3.10, 5 Hf 3.15-3.33, 4 Rb 3.25
As 0.7500 0.7500 0.2600  4 O 3.10, 5 Hf 3.15-3.33, 4 Rb 3.25
O 0.2500 0.7500 0.5000  4 Hf 2.20
O 0.7500 0.2500 0.5000  4 Hf 2.20

crystal system = tetragonal
raw total energy = -49.59 eV per cell
total magnetization = 0.01 Bohr magnetons per cell
energy relative to the lowest polymorph listed for this composition = 0.543 eV/atom